Entry 1:
Below is crystalline SrCu2PdSe at its relaxed geometry, with properties calculated at the GGA-PBE level.

Cell: 4.7075 4.7075 5.7552 Å, 90.00 90.00 90.00°
Fractional positions:
Sr 0.0000 0.0000 0.0000
Cu 0.0000 0.5000 0.5000
Cu 0.5000 0.0000 0.5000
Pd 0.0000 0.0000 0.5000
Se 0.5000 0.5000 0.0000

Results
**Final energy**: -18.18 eV for the cell shown
**Total magnetic moment**: 0.00 μB per formula unit
**ΔE_f (raw)**: 0.074 eV per atom

Entry 2:
Below is crystalline Tl2CuPdSe4 at its relaxed geometry, with properties calculated at the GGA-PBE level.

Cell: 12.4817 10.6344 7.6657 Å, 84.35 57.98 37.67°
Fractional positions:
Tl 0.0633 0.0633 0.6867
Tl 0.3133 0.3133 0.9367
Tl 0.6867 0.6867 0.0633
Tl 0.9367 0.9367 0.3133
Cu 0.3750 0.3750 0.3750
Cu 0.6250 0.6250 0.6250
Pd 0.1250 0.1250 0.1250
Pd 0.8750 0.8750 0.8750
Se 0.0408 0.3461 0.4168
Se 0.3037 0.5832 0.6539
Se 0.3461 0.0408 0.6963
Se 0.4168 0.6963 0.0408
Se 0.5832 0.3037 0.9592
Se 0.6539 0.9592 0.3037
Se 0.6963 0.4168 0.3461
Se 0.9592 0.6539 0.5832

Results
**Final energy**: -58.55 eV for the cell shown
**Total magnetic moment**: 0.00 μB per formula unit
**ΔE_f (raw)**: -0.164 eV per atom